# PBE TmU2NbN4, optimized geometry
# Calculated total energy, eV per atom: -10.183
# Symmetry: P2/m
# Formation energy without anion corrections, meV per atom: -1380
data_TmU2NbN4
_chemical_formula_sum 'Tm1 U2 Nb1 N4'
_cell_length_a 3.3622
_cell_length_b 5.7833
_cell_length_c 5.7914
_cell_angle_alpha 109.45
_cell_angle_beta 90.00
_cell_angle_gamma 90.00
_space_group_name_H-M_alt 'P 1'
_space_group_IT_number 1
loop_
_space_group_symop_operation_xyz
'x,y,z'
loop_
_atom_site_label
_atom_site_fract_x
_atom_site_fract_y
_atom_site_fract_z
U1 0.5000 0.0000 0.5000
U2 0.0000 0.5000 0.5000
N1 0.5000 0.2391 0.2395
N2 0.0000 0.2441 0.7552
N3 0.0000 0.7559 0.2448
N4 0.5000 0.7609 0.7605
Tm1 0.5000 0.5000 0.0000
Nb1 0.0000 0.0000 0.0000